Model one:
The following is a DFT calculation (PBE with a Hubbard U) of crystalline BaMnIO2 at its relaxed geometry.

**DOS at the Fermi energy**: 0.48 states/eV per atom

Cell lengths 4.4985, 4.4985, 5.3477 Å; angles 90.00, 90.00, 90.00 degrees
Each line ends with the local moment (μB).
Fractional coordinates of all 5 atoms:
I: 0.0000 0.0000 0.5000  0.00
Mn: 0.0000 0.0000 0.0000  4.38
Ba: 0.5000 0.5000 0.5000  0.01
O: 0.0000 0.5000 0.0000  -0.26
O: 0.5000 0.0000 0.0000  -0.26

Model two:
The following is a DFT calculation (PBE with a Hubbard U) of crystalline BaMnIO2 at its relaxed geometry.

**DOS at the Fermi energy**: 0.51 states/eV per atom

Cell lengths 4.5966, 4.5966, 7.0150 Å; angles 90.00, 90.00, 90.00 degrees
Each line ends with the local moment (μB).
Fractional coordinates of all 5 atoms:
I: 0.0000 0.0000 0.5000  0.05
Mn: 0.5000 0.5000 0.5000  4.89
Ba: 0.0000 0.0000 0.0000  -0.01
O: 0.0000 0.5000 0.0000  -0.02
O: 0.5000 0.0000 0.0000  -0.02

Model three:
The following is a DFT calculation (PBE with a Hubbard U) of crystalline BaMnIO2 at its relaxed geometry.

**DOS at the Fermi energy**: 0.00 states/eV per atom

Cell lengths 5.6607, 6.1778, 7.8522 Å; angles 113.17, 90.00, 90.00 degrees
Each line ends with the local moment (μB).
Fractional coordinates of all 10 atoms:
Ba: 0.2500 0.6075 0.2151  0.00
Ba: 0.7500 0.3925 0.7849  0.00
Mn: 0.2500 0.9944 0.9888  3.86
Mn: 0.7500 0.0056 0.0112  3.86
I: 0.7500 0.7641 0.5282  0.02
I: 0.2500 0.2359 0.4718  0.02
O: 0.5000 0.2120 0.0000  -0.03
O: 0.0000 0.7880 0.0000  -0.03
O: 0.5000 0.7880 0.0000  -0.03
O: 0.0000 0.2120 0.0000  -0.03

model three comes first in stability; the runner-up is 875 meV/atom higher.